1.
Material: KCo2Sb
Method: DFT, PBEsol
State: relaxed

```
KCo2Sb
1.0
3.1460 0.0000 0.0000
0.0000 3.1460 0.0000
0.0000 0.0000 7.8875
Co K Sb
2 1 1
Direct
0.0000 0.0000 0.0375 Co
0.5000 0.5000 0.1530 Co
0.0000 0.0000 0.4742 K
0.5000 0.5000 0.8353 Sb
```

Calculated values
Energy relative to the elements, uncorrected   0.36 eV/atom
Energy above the most stable polymorph in this dataset   0 meV per atom

=====

2.
Material: Be2CrIr
Method: DFT, PBEsol
State: relaxed

```
Be2CrIr
1.0
3.9155 0.0000 0.0000
1.9577 3.3909 0.0000
1.9577 1.1303 3.1970
Cr Ir Be
1 1 2
Direct
0.5000 0.5000 0.5000 Cr
0.2500 0.2500 0.2500 Ir
0.0000 0.0000 0.0000 Be
0.7500 0.7500 0.7500 Be
```

Calculated values
ΔH_f (0 K)   -0.790 eV per formula unit

=====

3.
Material: NiRh2Br
Method: DFT, PBEsol
State: relaxed

```
NiRh2Br
1.0
2.7989 0.0000 0.0000
0.0000 4.4276 0.0000
0.0000 0.0000 4.5754
Br Ni Rh
1 1 2
Direct
0.5000 0.5000 0.0000 Br
0.0000 0.5000 0.5000 Ni
0.0000 0.0000 0.0000 Rh
0.5000 0.0000 0.5000 Rh
```

Calculated values
Energy relative to the elements, uncorrected   0.62 eV/atom
Energy above the most stable polymorph in this dataset   32 meV per atom

=====

4.
Material: TiCuPS2
Method: DFT, PBEsol
State: relaxed

```
TiCuPS2
1.0
-1.2960 2.3404 -3.4968
-3.5909 -2.5223 -0.3572
-2.1959 2.7503 2.6547
P S Cu Ti
1 2 1 1
Direct
0.0000 0.0000 0.5000 P
0.0000 0.5000 0.0000 S
0.5000 0.0000 0.0000 S
0.0000 0.0000 0.0000 Cu
0.5000 0.5000 0.5000 Ti
```

Calculated values
Energy relative to the elements, uncorrected   0.38 eV/atom

=====

5.
Material: TiRh3F
Method: DFT, PBEsol
State: relaxed

```
TiRh3F
1.0
4.4903 0.0000 0.0000
0.0000 4.4903 0.0000
0.0000 0.0000 4.4903
F Rh Ti
1 3 1
Direct
0.5000 0.5000 0.5000 F
0.0000 0.5000 0.0000 Rh
0.0000 0.0000 0.5000 Rh
0.5000 0.0000 0.0000 Rh
0.0000 0.0000 0.0000 Ti
```

Calculated values
Energy relative to the elements, uncorrected   1.00 eV/atom
Energy above the most stable polymorph in this dataset   650 meV per atom

=====

6.
Material: RbGa3
Method: DFT, PBEsol
State: relaxed

```
RbGa3
1.0
6.2537 0.0000 0.0000
0.0000 6.2537 0.0000
-3.1269 -3.1269 7.4201
Rb Ga
3 9
Direct
0.0000 0.0000 0.0000 Rb
0.6275 0.1275 0.2551 Rb
0.8725 0.3725 0.7449 Rb
0.5000 0.5000 0.0000 Ga
0.5700 0.7776 0.5551 Ga
0.2224 0.0148 0.4449 Ga
0.2224 0.4300 0.4449 Ga
0.9852 0.7776 0.5551 Ga
0.3026 0.6081 0.2162 Ga
0.3919 0.0864 0.7838 Ga
0.3919 0.6974 0.7838 Ga
0.9136 0.6081 0.2162 Ga
```

Calculated values
ΔH_f (0 K)   -0.702 eV per formula unit

=====

7.
Material: MoOs2Rh
Method: DFT, PBEsol
State: relaxed

```
MoOs2Rh
1.0
-0.7653 -2.1696 -1.4265
1.8656 -1.6634 -1.0394
0.2010 -6.1404 6.6628
Mo Os Rh
1 2 1
Direct
0.0000 0.0000 0.0000 Mo
0.2494 0.2494 0.2519 Os
0.7506 0.7506 0.7481 Os
0.5000 0.5000 0.5000 Rh
```

Calculated values
Energy above the most stable polymorph in this dataset   172 meV per atom
ΔH_f (0 K)   0.426 eV per formula unit

=====

8.
Material: Dy2Te4O11
Method: DFT, PBEsol
State: relaxed

```
Dy2Te4O11
1.0
-0.8911 -0.6382 4.9664
3.4005 -5.0939 2.5596
12.2016 7.7974 5.7954
Dy Te O
4 8 22
Direct
0.8665 0.2988 0.4633 Dy
0.3715 0.7988 0.9633 Dy
0.6285 0.2012 0.0367 Dy
0.1335 0.7012 0.5367 Dy
0.1525 0.0492 0.2017 Te
0.5966 0.5492 0.7017 Te
0.4034 0.4508 0.2983 Te
0.1605 0.3764 0.8713 Te
0.8475 0.9508 0.7983 Te
0.8395 0.6236 0.1287 Te
0.4081 0.1236 0.6287 Te
0.5919 0.8764 0.3713 Te
0.0895 0.3649 0.3300 O
0.6022 0.0495 0.9034 O
0.3149 0.8665 0.6298 O
0.0404 0.1807 0.9545 O
0.3978 0.9505 0.0966 O
0.8245 0.6807 0.4545 O
0.6629 0.5302 0.0532 O
0.1888 0.3665 0.1298 O
0.7537 0.0302 0.5532 O
0.3371 0.4698 0.9468 O
0.1362 0.7500 0.2500 O
0.2463 0.9698 0.4468 O
0.5551 0.4505 0.5966 O
0.4449 0.5495 0.4034 O
0.9105 0.6351 0.6700 O
0.8638 0.2500 0.7500 O
0.8112 0.6335 0.8702 O
0.9596 0.8193 0.0455 O
0.2157 0.8649 0.8300 O
0.7843 0.1351 0.1700 O
0.6851 0.1335 0.3702 O
0.1755 0.3193 0.5455 O
```

Calculated values
Energy relative to the elements, uncorrected   -1.89 eV/atom

=====

9.
Material: Pr2InAg
Method: DFT, PBEsol
State: relaxed

```
Pr2InAg
1.0
-0.2977 -1.1185 3.4888
1.4555 -3.2483 -0.9172
7.2484 2.8182 1.5220
Pr Ag In
2 1 1
Direct
0.5000 0.5000 0.2397 Pr
0.5000 0.5000 0.7603 Pr
0.0000 0.0000 0.0000 Ag
0.0000 0.0000 0.5000 In
```

Calculated values
Energy above the most stable polymorph in this dataset   0 meV per atom
ΔH_f (0 K)   -1.519 eV per formula unit

=====

10.
Material: HfAg3Au
Method: DFT, PBEsol
State: relaxed

```
HfAg3Au
1.0
-1.4741 -3.3846 -3.4491
1.3331 -3.7509 3.1110
-4.6449 -0.0023 1.9875
Hf Au Ag
1 1 3
Direct
0.0000 0.0000 0.0000 Hf
0.5000 0.5000 0.5000 Au
0.0000 0.5000 0.0000 Ag
0.0000 0.0000 0.5000 Ag
0.5000 0.0000 0.0000 Ag
```

Calculated values
ΔH_f (0 K)   7.521 eV per formula unit

=====

11.
Material: Gd3SbO3
Method: DFT, PBEsol
State: relaxed

```
Gd3SbO3
1.0
-1.6287 2.7097 2.2340
-5.8963 -2.6490 2.2686
3.3357 -3.0651 9.5038
Sb Gd O
2 6 6
Direct
0.6198 0.4397 0.3208 Sb
0.3802 0.5603 0.6792 Sb
0.8811 0.7969 0.4409 Gd
0.1189 0.2031 0.5591 Gd
0.6559 0.8951 0.7932 Gd
0.3441 0.1049 0.2068 Gd
0.1288 0.6418 0.1005 Gd
0.8712 0.3582 0.8995 Gd
0.6900 0.0300 0.5900 O
0.3100 0.9700 0.4100 O
0.6620 0.6892 0.9869 O
0.3380 0.3108 0.0131 O
0.0641 0.0716 0.8003 O
0.9359 0.9284 0.1997 O
```

Calculated values
Energy relative to the elements, uncorrected   -2.86 eV/atom

=====

12.
Material: Rb2LiRuF6
Method: DFT, PBEsol
State: relaxed

```
Rb2LiRuF6
1.0
-2.7131 -4.1456 -3.0118
2.0130 -5.4367 0.0890
-2.9559 -4.1407 2.7812
Rb Li Ru F
2 1 1 6
Direct
0.7500 0.7500 0.7500 Rb
0.2500 0.2500 0.2500 Rb
0.5000 0.5000 0.5000 Li
0.0000 0.0000 0.0000 Ru
0.7556 0.2444 0.2444 F
0.7556 0.7556 0.2444 F
0.2444 0.7556 0.7556 F
0.7556 0.2444 0.7556 F
0.2444 0.7556 0.2444 F
0.2444 0.2444 0.7556 F
```

Calculated values
Energy relative to the elements, uncorrected   -2.40 eV/atom

=====

no.,energy (eV per atom),calculated volume (Å³/atom)
1,-4.93,19.52
2,-7.21,10.61
3,-5.46,14.17
4,-5.07,17.09
5,-5.93,18.11
6,-2.94,24.18
7,-10.98,14.16
8,-6.70,14.03
9,-4.55,26.77
10,-3.37,25.79
11,-11.95,18.72
12,-4.97,13.78